Record 1
First-principles (PBE+U) data for a geometry-optimized CaV8O8F8 structure, as listed in Alexandria.

Cell: 4.953 5.750 10.765 Å, 95.56 91.81 94.01°
Space group P1 (No. 1)
Unique sites:
Ca: 0.000 0.000 0.000 [1 per cell]
V: 0.006 0.442 0.148 [1 per cell]
V: 0.063 0.578 0.857 [1 per cell]
V: 0.493 0.401 0.619 [1 per cell]
V: 0.494 0.667 0.398 [1 per cell]
V: 0.513 0.141 0.876 [1 per cell]
V: 0.520 0.924 0.169 [1 per cell]
V: 0.991 0.915 0.646 [1 per cell]
V: 0.996 0.169 0.394 [1 per cell]
O: 0.161 0.363 0.983 [1 per cell]
O: 0.289 0.664 0.224 [1 per cell]
O: 0.294 0.386 0.451 [1 per cell]
O: 0.303 0.148 0.700 [1 per cell]
O: 0.674 0.187 0.083 [1 per cell]
O: 0.694 0.948 0.331 [1 per cell]
O: 0.699 0.678 0.558 [1 per cell]
O: 0.847 0.909 0.808 [1 per cell]
F: 0.178 0.140 0.215 [1 per cell]
F: 0.184 0.897 0.467 [1 per cell]
F: 0.221 0.636 0.688 [1 per cell]
F: 0.374 0.825 0.959 [1 per cell]
F: 0.692 0.426 0.798 [1 per cell]
F: 0.793 0.704 0.092 [1 per cell]
F: 0.804 0.441 0.317 [1 per cell]
F: 0.805 0.191 0.564 [1 per cell]

Properties
M_tot: 18.000 μB per formula unit
excess energy over the best structure of this formula in the dataset: 0.22 kcal/mol of atoms


Record 2
First-principles (PBE+U) data for a geometry-optimized CaV8O8F8 structure, as listed in Alexandria.

Cell: 5.031 5.744 10.544 Å, 96.04 92.06 92.92°
Space group P1 (No. 1)
Unique sites:
Ca: 0.000 0.000 0.000 [1 per cell]
V: 0.012 0.867 0.632 [1 per cell]
V: 0.024 0.561 0.844 [1 per cell]
V: 0.483 0.890 0.149 [1 per cell]
V: 0.495 0.625 0.379 [1 per cell]
V: 0.506 0.117 0.864 [1 per cell]
V: 0.522 0.350 0.600 [1 per cell]
V: 0.988 0.431 0.129 [1 per cell]
V: 0.998 0.122 0.375 [1 per cell]
O: 0.166 0.891 0.803 [1 per cell]
O: 0.183 0.140 0.547 [1 per cell]
O: 0.194 0.684 0.045 [1 per cell]
O: 0.312 0.892 0.310 [1 per cell]
O: 0.677 0.348 0.436 [1 per cell]
O: 0.823 0.572 0.682 [1 per cell]
O: 0.826 0.087 0.198 [1 per cell]
O: 0.845 0.333 0.935 [1 per cell]
F: 0.181 0.418 0.311 [1 per cell]
F: 0.320 0.648 0.553 [1 per cell]
F: 0.349 0.398 0.781 [1 per cell]
F: 0.371 0.195 0.064 [1 per cell]
F: 0.626 0.821 0.950 [1 per cell]
F: 0.660 0.599 0.205 [1 per cell]
F: 0.687 0.068 0.682 [1 per cell]
F: 0.811 0.833 0.448 [1 per cell]

Properties
M_tot: 18.000 μB per formula unit
excess energy over the best structure of this formula in the dataset: 0.00 kcal/mol of atoms
D(E_F): 0.7 states/eV/f.u.


Record 3
First-principles (PBE+U) data for a geometry-optimized CaWO2F structure, as listed in Alexandria.

Cell: 4.350 4.350 4.040 Å, 90.00 90.00 90.00°
Space group P4/mmm (No. 123)
Unique sites:
Ca: 0.000 0.000 0.000 [1 per cell]
W: 0.500 0.500 0.500 [1 per cell]
O: 0.000 0.500 0.000 [2 per cell]
F: 0.000 0.000 0.500 [1 per cell]

Properties
M_tot: 2.977 μB per formula unit
E: -26.13 eV per formula unit
D(E_F): 1.2 states/eV/f.u.


Record 4
First-principles (PBE+U) data for a geometry-optimized Ca2WO4F structure, as listed in Alexandria.

Cell: 10.171 3.249 6.800 Å, 90.00 115.93 90.00°
Space group C2/m (No. 12)
Unique sites:
Ca: 0.181 0.000 0.184 [4 per cell]
W: 0.000 0.000 0.500 [2 per cell]
O: 0.110 0.500 0.442 [4 per cell]
O: 0.151 0.000 0.796 [4 per cell]
F: 0.000 0.500 0.000 [2 per cell]

Properties
M_tot: 1.000 μB per formula unit
E: -55.21 eV per formula unit
D(E_F): 0.0 states/eV/f.u.


Record 5
First-principles (PBE+U) data for a geometry-optimized CaWO2F structure, as listed in Alexandria.

Cell: 4.236 4.236 4.130 Å, 90.00 90.00 90.00°
Space group P4/mmm (No. 123)
Unique sites:
Ca: 0.000 0.000 0.000 [1 per cell]
W: 0.500 0.500 0.500 [1 per cell]
O: 0.000 0.500 0.500 [2 per cell]
F: 0.500 0.500 0.000 [1 per cell]

Properties
M_tot: 2.993 μB per formula unit
E: -31.59 eV per formula unit
D(E_F): 0.3 states/eV/f.u.